(1)
{
  "formula": "PmHo2NpP4",
  "functional": "PBE",
  "state": "relaxed",
  "delta_e_f_ev_per_atom": -1.40,
  "lattice": [[6.9407, 0.0000, 0.0000], [0.0000, 4.0078, 0.0000], [-2.3044, 0.0000, 6.5650]],
  "species": ["Pm", "Ho", "Ho", "Np", "P", "P", "P", "P"],
  "frac_coords": [[0.0000, 0.0000, 0.0000], [0.5000, 0.0000, 0.5000], [0.5000, 0.5000, 0.0000], [0.0000, 0.5000, 0.5000], [0.2498, 0.0000, 0.7437], [0.2532, 0.5000, 0.2590], [0.7468, 0.5000, 0.7410], [0.7502, 0.0000, 0.2563]]
}

***

(2)
{
  "formula": "CrSiAu2",
  "functional": "PBE",
  "state": "relaxed",
  "formation_energy_uncorrected_ev_per_atom": 0.110,
  "lattice": [[-1.5754, 1.9681, 5.4696], [1.5754, -1.9681, 5.4696], [1.5754, 1.9681, -5.4696]],
  "species": ["Cr", "Si", "Au", "Au"],
  "frac_coords": [[0.0000, 0.0000, 0.0000], [0.5000, 0.5000, 0.0000], [0.3130, 0.8130, 0.5000], [0.6870, 0.1870, 0.5000]]
}

***

(3)
{
  "formula": "Nd2Th4Bi3N2",
  "functional": "PBE",
  "state": "relaxed",
  "formation_energy_uncorrected_ev_per_atom": -0.884,
  "lattice": [[-2.3899, 2.3899, 13.7133], [2.3899, -2.3899, 13.7133], [2.3899, 2.3899, -13.7133]],
  "species": ["Nd", "Nd", "Th", "Th", "Th", "Th", "Bi", "Bi", "Bi", "N", "N"],
  "frac_coords": [[0.1976, 0.1976, 0.0000], [0.8024, 0.8024, 0.0000], [0.0871, 0.5871, 0.5000], [0.4129, 0.9129, 0.5000], [0.5871, 0.0871, 0.5000], [0.9129, 0.4129, 0.5000], [0.3203, 0.3203, 0.0000], [0.5000, 0.5000, 0.0000], [0.6797, 0.6797, 0.0000], [0.1044, 0.1044, 0.0000], [0.8956, 0.8956, 0.0000]]
}

***

(4)
{
  "formula": "TmScTc",
  "functional": "PBE",
  "state": "relaxed",
  "delta_e_f_ev_per_atom": 0.00,
  "relative_energy_kj_per_mol_atoms": 14.7,
  "lattice": [[0.0000, 5.5825, 4.3756], [5.5259, 0.0000, 4.3756], [5.5259, 5.5825, 0.0000]],
  "species": ["Tm", "Tm", "Tm", "Tm", "Sc", "Sc", "Sc", "Sc", "Tc", "Tc", "Tc", "Tc"],
  "frac_coords": [[0.2888, 0.7112, 0.4367], [0.6867, 0.8133, 0.5388], [0.7112, 0.2888, 0.5633], [0.8133, 0.6867, 0.9612], [0.0551, 0.1812, 0.0733], [0.1767, 0.5595, 0.1949], [0.1812, 0.0551, 0.6905], [0.5595, 0.1767, 0.0688], [0.3291, 0.5252, 0.8262], [0.4238, 0.9305, 0.9209], [0.5252, 0.3291, 0.3195], [0.9305, 0.4238, 0.7248]]
}

***

(5)
{
  "formula": "ScSiBi2Rh",
  "functional": "PBE",
  "state": "relaxed",
  "formation_energy_uncorrected_ev_per_atom": 0.785,
  "lattice": [[5.5940, 0.0000, 0.0000], [0.0000, 5.5940, 0.0000], [0.0000, 0.0000, 4.6121]],
  "species": ["Sc", "Si", "Bi", "Bi", "Rh"],
  "frac_coords": [[0.0000, 0.0000, 0.0000], [0.5000, 0.5000, 0.5000], [0.0000, 0.5000, 0.0000], [0.5000, 0.0000, 0.0000], [0.0000, 0.0000, 0.5000]]
}

***

(6)
{
  "formula": "UFeCuRu",
  "functional": "PBE",
  "state": "relaxed",
  "delta_e_f_ev_per_atom": 0.09,
  "lattice": [[0.0000, 3.1264, 3.1264], [3.1264, 0.0000, 3.1264], [3.1264, 3.1264, 0.0000]],
  "species": ["U", "Fe", "Cu", "Ru"],
  "frac_coords": [[0.0000, 0.0000, 0.0000], [0.7500, 0.7500, 0.7500], [0.5000, 0.5000, 0.5000], [0.2500, 0.2500, 0.2500]]
}